Entry 1:
The following is a DFT calculation (PBE) of a geometry-optimized Al2In2Ag structure.

The calculation puts the formation energy at 319.6 meV per atom. The value obtained for the density of states at the Fermi level is 3.6 states/eV per cell. Its distance to the lowest polymorph of the same formula is 4.60 kcal/mol of atoms.

The space group is I4/mmm (No. 139) and the conventional cell measures 4.3657, 4.3657 and 12.3511 Å, with angles of 90.00, 90.00 and 90.00 degrees. Symmetry generates all atoms from Al at (0.0000, 0.0000, 0.1005), In at (0.0000, 0.5000, 0.2500) and Ag at (0.0000, 0.0000, 0.5000).

Entry 2:
The following is a DFT calculation (PBE) of a geometry-optimized AlIn3Ag6 structure.

The calculation puts the formation energy at 10.7 meV per atom. The value obtained for the density of states at the Fermi level is 5.0 states/eV per cell.

The space group is P2_1/m (No. 11) and the conventional cell measures 9.4692, 4.3577 and 9.4872 Å, with angles of 90.00, 93.63 and 90.00 degrees. Symmetry generates all atoms from Al at (0.1035, 0.2500, 0.4476), In at (0.1012, 0.7500, 0.9575), In at (0.2962, 0.2500, 0.8480), In at (0.4971, 0.2500, 0.2618), Ag at (0.0021, 0.7500, 0.2820), Ag at (0.1845, 0.7500, 0.6273), Ag at (0.1908, 0.2500, 0.1703), Ag at (0.3024, 0.7500, 0.3520), Ag at (0.3877, 0.2500, 0.5481) and Ag at (0.4015, 0.7500, 0.0555).

Entry 3:
The following is a DFT calculation (PBE) of a geometry-optimized AlInAg6 structure.

The calculation puts the formation energy at -22.9 meV per atom. The value obtained for the density of states at the Fermi level is 2.2 states/eV per cell. Its distance to the lowest polymorph of the same formula is 0.00 kcal/mol of atoms.

The space group is P4/mmm (No. 123) and the conventional cell measures 4.1649, 4.1649 and 8.3216 Å, with angles of 90.00, 90.00 and 90.00 degrees. Symmetry generates all atoms from Al at (0.0000, 0.0000, 0.0000), In at (0.0000, 0.0000, 0.5000), Ag at (0.0000, 0.5000, 0.2391), Ag at (0.5000, 0.5000, 0.0000) and Ag at (0.5000, 0.5000, 0.5000).

Entry 4:
The following is a DFT calculation (PBE) of a geometry-optimized Al2InAg2 structure.

The calculation puts the formation energy at 38.8 meV per atom. The value obtained for the density of states at the Fermi level is 2.7 states/eV per cell. Its distance to the lowest polymorph of the same formula is 0.00 kcal/mol of atoms.

The space group is P4/mbm (No. 127) and the conventional cell measures 8.3106, 8.3106 and 2.8179 Å, with angles of 90.00, 90.00 and 90.00 degrees. Symmetry generates all atoms from Al at (0.1233, 0.3767, 0.0000), In at (0.0000, 0.0000, 0.0000) and Ag at (0.1720, 0.6720, 0.5000).

Entry 5:
The following is a DFT calculation (PBE) of a geometry-optimized AlIn2AgIr structure.

The calculation puts the formation energy at 1038.2 meV per atom. The value obtained for the density of states at the Fermi level is 4.3 states/eV per cell.

The space group is P4/mmm (No. 123) and the conventional cell measures 5.0209, 5.0209 and 5.1376 Å, with angles of 90.00, 90.00 and 90.00 degrees. Symmetry generates all atoms from Al at (0.0000, 0.0000, 0.0000), In at (0.0000, 0.5000, 0.5000), Ag at (0.5000, 0.5000, 0.5000) and Ir at (0.5000, 0.5000, 0.0000).

Entry 6:
The following is a DFT calculation (PBE) of a geometry-optimized LaAlInAg structure.

The calculation puts the formation energy at -282.8 meV per atom. The value obtained for the density of states at the Fermi level is 8.6 states/eV per cell.

The space group is F-43m (No. 216) and the conventional cell measures 7.2260, 7.2260 and 7.2260 Å, with angles of 90.00, 90.00 and 90.00 degrees. Symmetry generates all atoms from La at (0.0000, 0.0000, 0.0000), Al at (0.2500, 0.2500, 0.2500), In at (0.0000, 0.0000, 0.5000) and Ag at (0.2500, 0.2500, 0.7500).

Entry 7:
The following is a DFT calculation (PBE) of a geometry-optimized La2Al3InAg4 structure.

The calculation puts the formation energy at -341.0 meV per atom. The value obtained for the density of states at the Fermi level is 6.0 states/eV per cell.

The space group is P-4m2 (No. 115) and the conventional cell measures 4.5134, 4.5134 and 11.0183 Å, with angles of 90.00, 90.00 and 90.00 degrees. Symmetry generates all atoms from La at (0.0000, 0.5000, 0.2425), Al at (0.0000, 0.5000, 0.8744), Al at (0.5000, 0.5000, 0.5000), In at (0.0000, 0.0000, 0.5000), Ag at (0.0000, 0.0000, 0.0000), Ag at (0.0000, 0.5000, 0.6433) and Ag at (0.5000, 0.5000, 0.0000).

Entry 8:
The following is a DFT calculation (PBE) of a geometry-optimized Li2AlIn2Ag5 structure.

The calculation puts the formation energy at -74.8 meV per atom. The value obtained for the density of states at the Fermi level is 4.2 states/eV per cell.

The space group is P4/mbm (No. 127) and the conventional cell measures 9.5000, 9.5000 and 4.0310 Å, with angles of 90.00, 90.00 and 90.00 degrees. Symmetry generates all atoms from Li at (0.1235, 0.3765, 0.0000), Al at (0.0000, 0.0000, 0.0000), In at (0.1698, 0.6698, 0.0000), Ag at (0.0000, 0.5000, 0.5000) and Ag at (0.0895, 0.1923, 0.5000).

- Look up the density of states at the Fermi level of the fifth one.
  4.3 states/eV per cell